Entry 1:
The following is a SCAN calculation of a PBEsol-optimized structure of BaLa3Cr, from Alexandria via LeMat-Bulk.

Cell lengths 5.4903, 5.4903, 5.4903 Å; angles 90.00, 90.00, 90.00 degrees
Closest atoms and distances in Å follow each position.
Fractional positions:
Ba 0.0000 0.0000 0.0000  12 La 3.88
La 0.0000 0.5000 0.5000  2 Cr 2.75
La 0.5000 0.0000 0.5000  2 Cr 2.75
La 0.5000 0.5000 0.0000  2 Cr 2.75
Cr 0.5000 0.5000 0.5000  6 La 2.75

Entry 2:
The following is a SCAN calculation of a PBEsol-optimized structure of Ba2LaCr, from Alexandria via LeMat-Bulk.

Cell lengths 3.9460, 3.9460, 9.8514 Å; angles 90.00, 90.00, 90.00 degrees
Closest atoms and distances in Å follow each position.
Fractional positions:
Ba 0.0000 0.0000 0.2082  4 Cr 3.46
Ba 0.0000 0.0000 0.7918  4 Cr 3.46
La 0.5000 0.5000 0.5000  4 La 3.95, 8 Ba 4.01
Cr 0.5000 0.5000 0.0000  8 Ba 3.46

Entry 3:
The following is a SCAN calculation of a PBEsol-optimized structure of Ba2LaCr, from Alexandria via LeMat-Bulk.

Cell lengths 5.8977, 5.8977, 5.8977 Å; angles 60.00, 60.00, 60.00 degrees
Closest atoms and distances in Å follow each position.
Fractional positions:
Ba 0.2500 0.2500 0.2500  4 Cr 3.61, 4 La 3.61
Ba 0.7500 0.7500 0.7500  4 La 3.61, 4 Cr 3.61
La 0.0000 0.0000 0.0000  8 Ba 3.61
Cr 0.5000 0.5000 0.5000  8 Ba 3.61

Entry 4:
The following is a SCAN calculation of a PBEsol-optimized structure of Ba2LaCr, from Alexandria via LeMat-Bulk.

Cell lengths 7.2013, 7.2013, 7.2013 Å; angles 147.84, 129.39, 61.24 degrees
Closest atoms and distances in Å follow each position.
Fractional positions:
Ba 0.0000 0.0000 0.0000  2 Cr 3.45, 4 La 3.85
Ba 0.7037 0.2037 0.5000  4 Cr 3.68, 2 La 3.97, 4 Ba 3.98-3.99
La 0.4056 0.4056 0.0000  2 Cr 2.98
Cr 0.2274 0.7274 0.5000  2 La 2.98

no.,total energy (eV/cell),ΔH_f (0 K) (eV/atom),DOS at the Fermi energy (states/eV/f.u.)
1,-185.31,0.39,4.902
2,-139.06,0.38,4.507
3,-138.75,0.46,4.329
4,-139.35,0.31,4.125